Entry 1:
Al2V4Mo3 (PBE-GGA, relaxed); total moment = 0.00 Bohr magnetons per cell; E_tot = -8.457 eV per atom; ΔE_f = 0.3 eV per formula unit
1.0
6.6238 0.0000 0.0000
-0.0927 6.8973 0.0000
-3.2983 -1.6764 5.9788
Al V Mo
4 8 6
Direct
0.1660 0.3813 0.0859
0.2329 0.1309 0.6939
0.7671 0.8691 0.3061
0.8340 0.6187 0.9141
0.0554 0.0631 0.2154
0.0991 0.5952 0.7098
0.3922 0.3962 0.5489
0.4932 0.8316 0.8318
0.5068 0.1684 0.1682
0.6078 0.6038 0.4511
0.9009 0.4048 0.2902
0.9446 0.9369 0.7846
0.1676 0.7182 0.4148
0.2901 0.7945 0.1059
0.5000 0.0000 0.5000
0.5000 0.5000 0.0000
0.7099 0.2055 0.8941
0.8324 0.2818 0.5852

=====

Entry 2:
AlV6Mo2 (PBE-GGA, relaxed); total moment = 0.00 Bohr magnetons per cell; E_tot = -8.745 eV per atom; ΔE_f = 1.4 eV per formula unit
1.0
-3.3777 5.1527 3.7693
3.3777 -5.1527 3.7693
3.3777 5.1527 -3.7693
Al V Mo
2 12 4
Direct
0.2500 0.2500 0.0000
0.7500 0.7500 0.0000
0.0486 0.5165 0.1831
0.0604 0.3119 0.3723
0.1666 0.9835 0.5321
0.3334 0.8654 0.8169
0.4396 0.8119 0.2515
0.4514 0.6346 0.4679
0.5486 0.3654 0.5321
0.5604 0.1881 0.7485
0.6666 0.1346 0.1831
0.8334 0.0165 0.4679
0.9396 0.6881 0.6277
0.9514 0.4835 0.8169
0.2000 0.9829 0.1830
0.3000 0.4829 0.7829
0.7000 0.5171 0.2171
0.8000 0.0171 0.8170

=====

Entry 3:
Al3V7Mo (PBE-GGA, relaxed); total moment = 0.00 Bohr magnetons per cell; E_tot = -7.681 eV per atom; ΔE_f = 1.4 eV per formula unit
1.0
1.2769 -10.2012 0.0000
1.2769 10.2012 0.0000
0.0000 0.0000 12.8642
Al V Mo
6 14 2
Direct
0.1533 0.8467 0.5737
0.1533 0.8467 0.9263
0.1601 0.8399 0.2500
0.8399 0.1601 0.7500
0.8467 0.1533 0.0737
0.8467 0.1533 0.4263
0.2808 0.7192 0.5842
0.2808 0.7192 0.9158
0.3930 0.6070 0.2500
0.4044 0.5956 0.5904
0.4044 0.5956 0.9096
0.4645 0.5355 0.0851
0.4645 0.5355 0.4149
0.5355 0.4645 0.5851
0.5355 0.4645 0.9149
0.5956 0.4044 0.0904
0.5956 0.4044 0.4096
0.6070 0.3930 0.7500
0.7192 0.2808 0.0842
0.7192 0.2808 0.4158
0.0249 0.9751 0.2500
0.9751 0.0249 0.7500

=====

Entry 4:
AlVMo (PBE-GGA, relaxed); total moment = 0.00 Bohr magnetons per cell; relative energy among the computed polymorphs = 0.011 eV/atom; E_tot = -8.112 eV per atom; ΔE_f = -0.6 eV per formula unit
1.0
4.3631 0.0000 0.0000
-2.1815 3.7785 0.0000
0.0000 0.0000 2.6913
Al V Mo
1 1 1
Direct
0.0000 0.0000 0.0000
0.3333 0.6667 0.6362
0.6667 0.3333 0.3846

=====

Entry 5:
Al2V4Mo5 (PBE-GGA, relaxed); total moment = 0.00 Bohr magnetons per cell; E_tot = -9.023 eV per atom; ΔE_f = -1.1 eV per formula unit
1.0
2.6839 0.0000 0.0000
-0.9086 6.6784 0.0000
-0.7576 -0.4994 9.1296
Al V Mo
2 4 5
Direct
0.1093 0.2151 0.1762
0.8907 0.7849 0.8238
0.2338 0.0471 0.6338
0.3471 0.8597 0.0950
0.6529 0.1403 0.9050
0.7662 0.9529 0.3662
0.0435 0.4047 0.7273
0.4057 0.6889 0.5482
0.5000 0.5000 0.0000
0.5943 0.3111 0.4518
0.9565 0.5953 0.2727

=====

Entry 6:
Al2V4Mo (PBE-GGA, relaxed); total moment = 3.73 Bohr magnetons per cell; relative energy among the computed polymorphs = 0.895 eV/atom; E_tot = -6.827 eV per atom; ΔE_f = 7.0 eV per formula unit
1.0
-2.2431 2.2431 6.7130
2.2431 -2.2431 6.7130
2.2431 2.2431 -6.7130
Al V Mo
2 4 1
Direct
0.1220 0.1220 0.0000
0.8780 0.8780 0.0000
0.0000 0.5000 0.5000
0.3192 0.3192 0.0000
0.5000 0.0000 0.5000
0.6808 0.6808 0.0000
0.5000 0.5000 0.0000

=====

Entry 7:
Al2VMo (PBE-GGA, relaxed); total moment = 0.00 Bohr magnetons per cell; relative energy among the computed polymorphs = 0.495 eV/atom; E_tot = -6.546 eV per atom; ΔE_f = 1.3 eV per formula unit
1.0
-3.4412 3.4412 2.6706
3.4412 -3.4412 2.6706
3.4412 3.4412 -2.6706
Al V Mo
4 2 2
Direct
0.1188 0.6250 0.9938
0.3750 0.3688 0.4938
0.6312 0.1250 0.0062
0.8750 0.8812 0.5062
0.0000 0.0000 0.0000
0.7500 0.2500 0.5000
0.2500 0.7500 0.5000
0.5000 0.5000 0.0000

=====

Entry 8:
AlVMo3 (PBE-GGA, relaxed); total moment = 0.00 Bohr magnetons per cell; relative energy among the computed polymorphs = 0.000 eV/atom; E_tot = -8.873 eV per atom; ΔE_f = 1.0 eV per formula unit
1.0
-2.4461 4.8010 3.4034
2.4461 -4.8010 3.4034
2.4461 4.8010 -3.4034
Al V Mo
2 2 6
Direct
0.0000 0.0000 0.0000
0.5000 0.0000 0.5000
0.3546 0.1046 0.2500
0.6454 0.8954 0.7500
0.0000 0.0000 0.5000
0.0000 0.5000 0.0000
0.2119 0.6130 0.5990
0.4860 0.3870 0.0990
0.5140 0.6130 0.9010
0.7881 0.3870 0.4010

=====

- Among the records above, which one has the highest E_tot?
  Al2VMo

=====

- Look up the E_tot of the third one.
  -7.681 eV per atom

=====

Repeat the second record exactly.
AlV6Mo2 (PBE-GGA, relaxed); total moment = 0.00 Bohr magnetons per cell; E_tot = -8.745 eV per atom; ΔE_f = 1.4 eV per formula unit
1.0
-3.3777 5.1527 3.7693
3.3777 -5.1527 3.7693
3.3777 5.1527 -3.7693
Al V Mo
2 12 4
Direct
0.2500 0.2500 0.0000
0.7500 0.7500 0.0000
0.0486 0.5165 0.1831
0.0604 0.3119 0.3723
0.1666 0.9835 0.5321
0.3334 0.8654 0.8169
0.4396 0.8119 0.2515
0.4514 0.6346 0.4679
0.5486 0.3654 0.5321
0.5604 0.1881 0.7485
0.6666 0.1346 0.1831
0.8334 0.0165 0.4679
0.9396 0.6881 0.6277
0.9514 0.4835 0.8169
0.2000 0.9829 0.1830
0.3000 0.4829 0.7829
0.7000 0.5171 0.2171
0.8000 0.0171 0.8170